Material: HoTlGa4
Method: DFT, GGA-PBE
State: optimized geometry

Values from the calculation:
* calculated total energy: -3.3635 eV per atom
* formation enthalpy at 0 K: -1.1 eV per formula unit

Cell and atoms, written as POSCAR:
```
HoTlGa4
1.0
0.000 3.979 3.979
3.979 0.000 3.979
3.979 3.979 0.000
Ho Tl Ga
1 1 4
Cartesian
0.000 0.000 0.000
5.969 5.969 5.969
2.981 2.981 2.981
4.977 4.977 2.981
4.977 2.981 4.977
2.981 4.977 4.977
```